DFT (GGA-PBE) results for a relaxed MgPbSe2 crystal. Values from VASP.

The structure in Quantum ESPRESSO input format:
```
&SYSTEM
  ibrav = 0, nat = 4, ntyp = 3
/
ATOMIC_SPECIES
Pb 207.20 Pb.upf
Mg 24.30 Mg.upf
Se 78.96 Se.upf
ATOMIC_POSITIONS angstrom
Pb -3.063 -6.418 5.210
Mg -1.021 -2.139 1.737
Se -1.977 -6.861 0.439
Se -1.989 -4.302 3.239
CELL_PARAMETERS angstrom
-2.897 -2.916 -0.386
0.972 -3.968 0.592
-2.159 -1.673 6.741
```

Computed properties:
total magnetic moment	0.0000	μB/atom
formation energy without anion corrections	-0.865	eV per atom



DFT (GGA-PBE) results for a relaxed MgPbSe2 crystal. Values from VASP.

The structure in Quantum ESPRESSO input format:
```
&SYSTEM
  ibrav = 0, nat = 8, ntyp = 3
/
ATOMIC_SPECIES
Pb 207.20 Pb.upf
Mg 24.30 Mg.upf
Se 78.96 Se.upf
ATOMIC_POSITIONS angstrom
Pb 0.000 0.000 0.000
Pb 6.536 3.268 3.114
Mg 3.268 3.268 0.000
Mg 3.268 6.536 3.114
Se 4.578 1.634 1.557
Se 1.958 4.902 1.557
Se 4.902 5.227 4.670
Se 8.170 7.846 4.670
CELL_PARAMETERS angstrom
6.536 0.000 0.000
0.000 6.536 0.000
3.268 3.268 6.227
```

Computed properties:
total magnetic moment	0.0000	μB/atom
formation energy without anion corrections	-0.768	eV per atom



DFT (GGA-PBE) results for a relaxed MgPbSe2 crystal. Values from VASP.

The structure in Quantum ESPRESSO input format:
```
&SYSTEM
  ibrav = 0, nat = 4, ntyp = 3
/
ATOMIC_SPECIES
Mg 24.30 Mg.upf
Pb 207.20 Pb.upf
Se 78.96 Se.upf
ATOMIC_POSITIONS angstrom
Mg 0.143 5.221 3.472
Pb 0.620 8.662 5.702
Se -0.367 10.901 7.351
Se 0.388 3.132 2.037
CELL_PARAMETERS angstrom
-2.166 6.044 1.854
-1.644 3.750 5.281
4.124 1.372 0.290
```

Computed properties:
total magnetic moment	0.0000	μB/atom
formation energy without anion corrections	-0.719	eV per atom



DFT (GGA-PBE) results for a relaxed Mg4PbSe crystal. Values from VASP.

The structure in Quantum ESPRESSO input format:
```
&SYSTEM
  ibrav = 0, nat = 6, ntyp = 3
/
ATOMIC_SPECIES
Mg 24.30 Mg.upf
Pb 207.20 Pb.upf
Se 78.96 Se.upf
ATOMIC_POSITIONS angstrom
Mg -4.831 -5.534 -3.068
Mg -6.193 -3.087 -3.936
Mg -6.673 -4.157 -1.249
Mg -4.083 -2.948 -1.904
Pb -8.168 -5.897 -3.809
Se 0.000 0.000 0.000
CELL_PARAMETERS angstrom
-1.494 -5.169 -2.327
-5.178 -2.417 1.311
-4.218 -0.277 -4.062
```

Computed properties:
total magnetic moment	0.0000	μB/atom
formation energy without anion corrections	-0.015	eV per atom



DFT (GGA-PBE) results for a relaxed MgPb3Se4 crystal. Values from VASP.

The structure in Quantum ESPRESSO input format:
```
&SYSTEM
  ibrav = 0, nat = 8, ntyp = 3
/
ATOMIC_SPECIES
Pb 207.20 Pb.upf
Mg 24.30 Mg.upf
Se 78.96 Se.upf
ATOMIC_POSITIONS angstrom
Pb -10.439 -3.224 7.087
Pb -6.918 -2.080 4.643
Pb -3.397 -0.935 2.199
Mg 0.000 0.000 0.000
Se -4.907 1.311 0.662
Se -8.449 0.131 3.148
Se -8.930 -5.470 8.624
Se -5.387 -4.290 6.138
CELL_PARAMETERS angstrom
-2.716 3.043 1.220
-3.870 0.230 -1.760
-7.251 -7.432 9.826
```

Computed properties:
total magnetic moment	0.0000	μB/atom
formation energy without anion corrections	-0.702	eV per atom



DFT (GGA-PBE) results for a relaxed MgPbSe2 crystal. Values from VASP.

The structure in Quantum ESPRESSO input format:
```
&SYSTEM
  ibrav = 0, nat = 4, ntyp = 3
/
ATOMIC_SPECIES
Mg 24.30 Mg.upf
Pb 207.20 Pb.upf
Se 78.96 Se.upf
ATOMIC_POSITIONS angstrom
Mg 0.000 1.594 1.354
Pb 2.951 3.701 3.744
Se 0.000 3.699 3.884
Se 2.951 1.583 1.634
CELL_PARAMETERS angstrom
5.902 0.000 0.000
0.000 4.220 -0.017
0.000 0.011 4.263
```

Computed properties:
total magnetic moment	0.0000	μB/atom
formation energy without anion corrections	-0.780	eV per atom



DFT (GGA-PBE) results for a relaxed Mg2Pb2Se crystal. Values from VASP.

The structure in Quantum ESPRESSO input format:
```
&SYSTEM
  ibrav = 0, nat = 10, ntyp = 3
/
ATOMIC_SPECIES
Pb 207.20 Pb.upf
Mg 24.30 Mg.upf
Se 78.96 Se.upf
ATOMIC_POSITIONS angstrom
Pb 1.130 4.751 2.518
Pb 4.751 6.113 2.518
Pb 6.113 2.492 2.518
Pb 2.492 1.130 2.518
Mg 2.529 6.150 0.000
Mg 6.150 4.714 0.000
Mg 4.714 1.092 0.000
Mg 1.092 2.529 0.000
Se 0.000 0.000 0.000
Se 3.621 3.621 0.000
CELL_PARAMETERS angstrom
7.243 0.000 0.000
0.000 7.243 0.000
0.000 0.000 5.036
```

Computed properties:
total magnetic moment	0.0000	μB/atom
formation energy without anion corrections	-0.199	eV per atom



DFT (GGA-PBE) results for a relaxed MgPbSe2 crystal. Values from VASP.

The structure in Quantum ESPRESSO input format:
```
&SYSTEM
  ibrav = 0, nat = 4, ntyp = 3
/
ATOMIC_SPECIES
Mg 24.30 Mg.upf
Pb 207.20 Pb.upf
Se 78.96 Se.upf
ATOMIC_POSITIONS angstrom
Mg 6.014 2.642 0.000
Pb 3.586 0.004 1.438
Se 0.000 0.000 0.000
Se 2.429 2.638 1.438
CELL_PARAMETERS angstrom
7.171 0.008 0.000
4.857 5.276 0.000
-6.014 -2.642 2.877
```

Computed properties:
total magnetic moment	0.0000	μB/atom
formation energy without anion corrections	-0.411	eV per atom



DFT (GGA-PBE) results for a relaxed MgPbSe2 crystal. Values from VASP.

The structure in Quantum ESPRESSO input format:
```
&SYSTEM
  ibrav = 0, nat = 4, ntyp = 3
/
ATOMIC_SPECIES
Mg 24.30 Mg.upf
Pb 207.20 Pb.upf
Se 78.96 Se.upf
ATOMIC_POSITIONS angstrom
Mg 2.576 0.002 1.819
Pb -0.003 2.576 1.819
Se 0.000 0.000 0.000
Se 2.572 2.577 0.000
CELL_PARAMETERS angstrom
5.151 0.003 0.000
-0.007 5.151 0.000
0.000 0.000 3.638
```

Computed properties:
total magnetic moment	0.0000	μB/atom
formation energy without anion corrections	-0.453	eV per atom



DFT (GGA-PBE) results for a relaxed MgPb2Se4 crystal. Values from VASP.

The structure in Quantum ESPRESSO input format:
```
&SYSTEM
  ibrav = 0, nat = 7, ntyp = 3
/
ATOMIC_SPECIES
Pb 207.20 Pb.upf
Mg 24.30 Mg.upf
Se 78.96 Se.upf
ATOMIC_POSITIONS angstrom
Pb -7.446 -2.792 -4.568
Pb -3.326 -0.616 -2.344
Mg 0.000 0.000 0.000
Se -6.155 -0.256 -4.763
Se -4.617 -3.152 -2.149
Se -0.172 -0.111 -2.576
Se -2.298 1.177 0.103
CELL_PARAMETERS angstrom
-4.596 2.355 0.205
-0.344 -0.221 -5.152
-5.833 -5.542 -1.965
```

Computed properties:
total magnetic moment	0.0000	μB/atom
formation energy without anion corrections	-0.314	eV per atom



DFT (GGA-PBE) results for a relaxed MgPbSe3 crystal. Values from VASP.

The structure in Quantum ESPRESSO input format:
```
&SYSTEM
  ibrav = 0, nat = 5, ntyp = 3
/
ATOMIC_SPECIES
Pb 207.20 Pb.upf
Mg 24.30 Mg.upf
Se 78.96 Se.upf
ATOMIC_POSITIONS angstrom
Pb -0.405 -4.267 -1.055
Mg 0.000 0.000 0.000
Se 1.755 -1.387 -1.220
Se -0.345 -1.900 1.662
Se -1.815 -0.980 -1.497
CELL_PARAMETERS angstrom
-3.629 -1.959 -2.994
3.511 -2.774 -2.441
-0.691 -3.801 3.325
```

Computed properties:
total magnetic moment	0.0000	μB/atom
energy relative to the lowest polymorph listed for this composition	0	meV/atom
formation energy without anion corrections	-0.223	eV per atom



DFT (GGA-PBE) results for a relaxed MgPbSe2 crystal. Values from VASP.

The structure in Quantum ESPRESSO input format:
```
&SYSTEM
  ibrav = 0, nat = 4, ntyp = 3
/
ATOMIC_SPECIES
Mg 24.30 Mg.upf
Pb 207.20 Pb.upf
Se 78.96 Se.upf
ATOMIC_POSITIONS angstrom
Mg -1.107 2.828 1.617
Pb 2.134 2.054 -0.008
Se 0.000 0.000 0.000
Se 4.268 0.754 1.583
CELL_PARAMETERS angstrom
7.508 -0.020 -0.042
-3.241 4.127 0.027
1.027 1.529 3.207
```

Computed properties:
total magnetic moment	0.0000	μB/atom
formation energy without anion corrections	-0.456	eV per atom



DFT (GGA-PBE) results for a relaxed MgPbSe2 crystal. Values from VASP.

The structure in Quantum ESPRESSO input format:
```
&SYSTEM
  ibrav = 0, nat = 4, ntyp = 3
/
ATOMIC_SPECIES
Mg 24.30 Mg.upf
Pb 207.20 Pb.upf
Se 78.96 Se.upf
ATOMIC_POSITIONS angstrom
Mg 0.039 1.715 6.065
Pb 0.059 2.573 9.097
Se 0.000 0.000 0.000
Se 0.020 0.858 3.032
CELL_PARAMETERS angstrom
-0.678 3.922 3.262
-2.121 -0.828 4.615
2.878 0.337 4.253
```

Computed properties:
total magnetic moment	0.0000	μB/atom
formation energy without anion corrections	-0.008	eV per atom



DFT (GGA-PBE) results for a relaxed MgPbSe2 crystal. Values from VASP.

The structure in Quantum ESPRESSO input format:
```
&SYSTEM
  ibrav = 0, nat = 4, ntyp = 3
/
ATOMIC_SPECIES
Mg 24.30 Mg.upf
Pb 207.20 Pb.upf
Se 78.96 Se.upf
ATOMIC_POSITIONS angstrom
Mg 2.916 -7.544 5.828
Pb 1.019 -4.813 3.230
Se 3.592 -3.127 3.798
Se 0.315 -2.361 1.477
CELL_PARAMETERS angstrom
-2.292 -2.240 2.498
-0.450 -3.981 -0.678
4.782 -3.405 4.641
```

Computed properties:
total magnetic moment	0.0000	μB/atom
formation energy without anion corrections	-0.826	eV per atom



DFT (GGA-PBE) results for a relaxed MgSn2PbSe4 crystal. Values from VASP.

The structure in Quantum ESPRESSO input format:
```
&SYSTEM
  ibrav = 0, nat = 8, ntyp = 4
/
ATOMIC_SPECIES
Mg 24.30 Mg.upf
Sn 118.71 Sn.upf
Pb 207.20 Pb.upf
Se 78.96 Se.upf
ATOMIC_POSITIONS angstrom
Mg -1.731 2.467 5.167
Sn 1.026 5.641 4.613
Sn -0.968 3.928 1.281
Pb -3.725 0.754 1.836
Se -2.592 3.615 7.651
Se -3.831 3.534 0.633
Se -4.497 2.120 4.427
Se -1.927 5.029 3.856
CELL_PARAMETERS angstrom
-2.962 2.215 -2.050
-4.488 -0.707 5.721
1.026 5.641 4.613
```

Computed properties:
total magnetic moment	0.0000	μB/atom
formation energy without anion corrections	-0.618	eV per atom



DFT (GGA-PBE) results for a relaxed MgSn2PbSe6 crystal. Values from VASP.

The structure in Quantum ESPRESSO input format:
```
&SYSTEM
  ibrav = 0, nat = 20, ntyp = 4
/
ATOMIC_SPECIES
Mg 24.30 Mg.upf
Sn 118.71 Sn.upf
Pb 207.20 Pb.upf
Se 78.96 Se.upf
ATOMIC_POSITIONS angstrom
Mg -8.208 -2.493 1.284
Mg -8.370 -1.540 -7.051
Sn -8.836 -4.608 -3.782
Sn -4.181 -1.793 -2.434
Sn -7.743 0.576 -1.985
Sn -12.398 -2.239 -3.333
Pb -5.127 -3.776 -6.677
Pb -11.452 -0.257 0.910
Se -10.299 -6.727 -3.862
Se -2.813 0.366 -2.107
Se -6.280 2.695 -1.905
Se -13.766 -4.398 -3.660
Se -8.144 -3.953 -6.147
Se -3.209 -3.140 -4.367
Se -8.435 -0.079 0.380
Se -13.370 -0.892 -1.400
Se -6.503 -5.119 -2.727
Se -6.559 -1.263 -3.370
Se -10.076 1.087 -3.040
Se -10.019 -2.769 -2.397
CELL_PARAMETERS angstrom
-5.670 4.131 -2.860
-3.124 -5.052 -7.476
-7.786 -3.111 4.569
```

Computed properties:
total magnetic moment	0.0000	μB/atom
formation energy without anion corrections	-0.481	eV per atom



DFT (GGA-PBE) results for a relaxed Sr2MgPbSe crystal. Values from VASP.

The structure in Quantum ESPRESSO input format:
```
&SYSTEM
  ibrav = 0, nat = 5, ntyp = 4
/
ATOMIC_SPECIES
Pb 207.20 Pb.upf
Sr 87.62 Sr.upf
Mg 24.30 Mg.upf
Se 78.96 Se.upf
ATOMIC_POSITIONS angstrom
Pb 2.939 2.939 2.555
Sr 0.000 2.939 0.000
Sr 2.939 0.000 0.000
Mg 0.000 0.000 2.555
Se 0.000 0.000 0.000
CELL_PARAMETERS angstrom
5.878 0.000 0.000
0.000 5.878 0.000
0.000 0.000 5.110
```

Computed properties:
total magnetic moment	0.0000	μB/atom
formation energy without anion corrections	-0.711	eV per atom



DFT (GGA-PBE) results for a relaxed Mg2ZnPbSe crystal. Values from VASP.

The structure in Quantum ESPRESSO input format:
```
&SYSTEM
  ibrav = 0, nat = 5, ntyp = 4
/
ATOMIC_SPECIES
Pb 207.20 Pb.upf
Zn 65.41 Zn.upf
Mg 24.30 Mg.upf
Se 78.96 Se.upf
ATOMIC_POSITIONS angstrom
Pb 0.049 -2.352 -1.277
Zn 0.000 0.000 0.000
Mg -2.304 -0.508 0.847
Mg -0.986 1.084 -2.034
Se -3.242 -1.776 -2.463
CELL_PARAMETERS angstrom
-1.973 2.167 -4.068
0.097 -4.704 -2.553
-4.608 -1.015 1.694
```

Computed properties:
total magnetic moment	0.0000	μB/atom
formation energy without anion corrections	0.103	eV per atom



DFT (GGA-PBE) results for a relaxed MgSi2Pb crystal. Values from VASP.

The structure in Quantum ESPRESSO input format:
```
&SYSTEM
  ibrav = 0, nat = 4, ntyp = 3
/
ATOMIC_SPECIES
Pb 207.20 Pb.upf
Si 28.09 Si.upf
Mg 24.30 Mg.upf
ATOMIC_POSITIONS angstrom
Pb 3.510 3.510 3.510
Si 1.755 1.755 1.755
Si 5.265 5.265 5.265
Mg 0.000 0.000 0.000
CELL_PARAMETERS angstrom
0.000 3.510 3.510
3.510 0.000 3.510
3.510 3.510 0.000
```

Computed properties:
total magnetic moment	0.0000	μB/atom
energy relative to the lowest polymorph listed for this composition	242	meV/atom
formation energy without anion corrections	0.465	eV per atom



DFT (GGA-PBE) results for a relaxed MgSiPb2 crystal. Values from VASP.

The structure in Quantum ESPRESSO input format:
```
&SYSTEM
  ibrav = 0, nat = 4, ntyp = 3
/
ATOMIC_SPECIES
Pb 207.20 Pb.upf
Si 28.09 Si.upf
Mg 24.30 Mg.upf
ATOMIC_POSITIONS angstrom
Pb -1.581 -0.143 -2.781
Pb -4.742 -0.429 -8.343
Si -3.161 -0.286 -5.562
Mg 0.000 0.000 0.000
CELL_PARAMETERS angstrom
-2.866 -3.055 -3.130
-3.905 2.059 -2.802
0.449 0.424 -5.192
```

Computed properties:
total magnetic moment	0.0000	μB/atom
energy relative to the lowest polymorph listed for this composition	143	meV/atom
formation energy without anion corrections	0.286	eV per atom